No. 1
A relaxed Ga2FeCuPd4 crystal, computed with GGA-PBE.

a b c (Å): 4.4020 4.4020 5.8054
angles (deg): 90.00 90.00 90.00
With the nearest neighbours (Å) after each atom.
Sites, in units of the cell vectors:
Ga (0.0000, 0.0000, 0.0000)  8 Pd 2.64, 2 Fe 2.90
Ga (0.5000, 0.5000, 0.5000)  8 Pd 2.63, 2 Cu 2.90
Fe (0.0000, 0.0000, 0.5000)  8 Pd 2.63, 2 Ga 2.90
Cu (0.5000, 0.5000, 0.0000)  8 Pd 2.64, 2 Ga 2.90
Pd (0.0000, 0.5000, 0.2512)  2 Fe 2.63, 4 Ga 2.63-2.64, 2 Cu 2.64, 2 Pd 2.89-2.92
Pd (0.0000, 0.5000, 0.7488)  2 Fe 2.63, 4 Ga 2.63-2.64, 2 Cu 2.64, 2 Pd 2.89-2.92
Pd (0.5000, 0.0000, 0.2512)  2 Fe 2.63, 4 Ga 2.63-2.64, 2 Cu 2.64, 2 Pd 2.89-2.92
Pd (0.5000, 0.0000, 0.7488)  2 Fe 2.63, 4 Ga 2.63-2.64, 2 Cu 2.64, 2 Pd 2.89-2.92

Results
Calculated total energy: -42.0 eV/cell
Spin magnetization: 3.10 μB/f.u.

No. 2
A relaxed Ga2FeCuPt4 crystal, computed with GGA-PBE.

a b c (Å): 4.5429 4.5429 5.6319
angles (deg): 90.00 90.00 90.00
With the nearest neighbours (Å) after each atom.
Sites, in units of the cell vectors:
Ga (0.0000, 0.0000, 0.0000)  8 Pt 2.68, 2 Fe 2.82
Ga (0.5000, 0.5000, 0.5000)  8 Pt 2.67, 2 Cu 2.82
Fe (0.0000, 0.0000, 0.5000)  8 Pt 2.67, 2 Ga 2.82
Cu (0.5000, 0.5000, 0.0000)  8 Pt 2.68, 2 Ga 2.82
Pt (0.0000, 0.5000, 0.2522)  2 Fe 2.67, 4 Ga 2.67-2.68, 2 Cu 2.68, 2 Pt 2.79-2.84
Pt (0.0000, 0.5000, 0.7478)  2 Fe 2.67, 4 Ga 2.67-2.68, 2 Cu 2.68, 2 Pt 2.79-2.84
Pt (0.5000, 0.0000, 0.2522)  2 Fe 2.67, 4 Ga 2.67-2.68, 2 Cu 2.68, 2 Pt 2.79-2.84
Pt (0.5000, 0.0000, 0.7478)  2 Fe 2.67, 4 Ga 2.67-2.68, 2 Cu 2.68, 2 Pt 2.79-2.84

Results
Calculated total energy: -45.7 eV/cell
Spin magnetization: 3.27 μB/f.u.

No. 3
A relaxed ScGaFeCu crystal, computed with GGA-PBE.

a b c (Å): 4.3151 4.3151 4.3151
angles (deg): 60.00 60.00 60.00
With the nearest neighbours (Å) after each atom.
Sites, in units of the cell vectors:
Sc (0.0000, 0.0000, 0.0000)  4 Fe 2.64, 4 Cu 2.64
Ga (0.5000, 0.5000, 0.5000)  4 Fe 2.64, 4 Cu 2.64
Fe (0.7500, 0.7500, 0.7500)  4 Ga 2.64, 4 Sc 2.64
Cu (0.2500, 0.2500, 0.2500)  4 Ga 2.64, 4 Sc 2.64

Results
Calculated total energy: -22.1 eV/cell
Spin magnetization: 0.92 μB/f.u.

No. 4
A relaxed ScGaFeCu crystal, computed with GGA-PBE.

a b c (Å): 4.3692 4.3692 4.3692
angles (deg): 60.00 60.00 60.00
With the nearest neighbours (Å) after each atom.
Sites, in units of the cell vectors:
Sc (0.0000, 0.0000, 0.0000)  4 Cu 2.68, 4 Ga 2.68
Ga (0.7500, 0.7500, 0.7500)  4 Fe 2.68, 4 Sc 2.68
Fe (0.5000, 0.5000, 0.5000)  4 Ga 2.68, 4 Cu 2.68
Cu (0.2500, 0.2500, 0.2500)  4 Fe 2.68, 4 Sc 2.68

Results
Calculated total energy: -22.1 eV/cell
Spin magnetization: 2.29 μB/f.u.

- Among the records above, which one has the lowest spin magnetization?
  number 3

Please write out number 2 again, unchanged.
A relaxed Ga2FeCuPt4 crystal, computed with GGA-PBE.

a b c (Å): 4.5429 4.5429 5.6319
angles (deg): 90.00 90.00 90.00
With the nearest neighbours (Å) after each atom.
Sites, in units of the cell vectors:
Ga (0.0000, 0.0000, 0.0000)  8 Pt 2.68, 2 Fe 2.82
Ga (0.5000, 0.5000, 0.5000)  8 Pt 2.67, 2 Cu 2.82
Fe (0.0000, 0.0000, 0.5000)  8 Pt 2.67, 2 Ga 2.82
Cu (0.5000, 0.5000, 0.0000)  8 Pt 2.68, 2 Ga 2.82
Pt (0.0000, 0.5000, 0.2522)  2 Fe 2.67, 4 Ga 2.67-2.68, 2 Cu 2.68, 2 Pt 2.79-2.84
Pt (0.0000, 0.5000, 0.7478)  2 Fe 2.67, 4 Ga 2.67-2.68, 2 Cu 2.68, 2 Pt 2.79-2.84
Pt (0.5000, 0.0000, 0.2522)  2 Fe 2.67, 4 Ga 2.67-2.68, 2 Cu 2.68, 2 Pt 2.79-2.84
Pt (0.5000, 0.0000, 0.7478)  2 Fe 2.67, 4 Ga 2.67-2.68, 2 Cu 2.68, 2 Pt 2.79-2.84

Results
Calculated total energy: -45.7 eV/cell
Spin magnetization: 3.27 μB/f.u.

Please write out number 4 again, unchanged.
A relaxed ScGaFeCu crystal, computed with GGA-PBE.

a b c (Å): 4.3692 4.3692 4.3692
angles (deg): 60.00 60.00 60.00
With the nearest neighbours (Å) after each atom.
Sites, in units of the cell vectors:
Sc (0.0000, 0.0000, 0.0000)  4 Cu 2.68, 4 Ga 2.68
Ga (0.7500, 0.7500, 0.7500)  4 Fe 2.68, 4 Sc 2.68
Fe (0.5000, 0.5000, 0.5000)  4 Ga 2.68, 4 Cu 2.68
Cu (0.2500, 0.2500, 0.2500)  4 Fe 2.68, 4 Sc 2.68

Results
Calculated total energy: -22.1 eV/cell
Spin magnetization: 2.29 μB/f.u.

- Which value of spin magnetization does entry 2 give?
  3.27 μB/f.u.